(1)
Zn2CrSn | PBE | optimized geometry

Unit cell a=6.621 b=6.621 c=6.621 alpha=90.00 beta=90.00 gamma=90.00
Space group Fm-3m (No. 225)
Unique sites:
Zn (0.250, 0.250, 0.250)
Cr (0.000, 0.000, 0.000)
Sn (0.000, 0.000, 0.500)

Computed properties:
Total magnetic moment (μB/atom): 0.99
Energy above the lowest structure with this stoichiometry (eV per atom): 0.158
Calculated formation energy (eV per atom): 0.313

=====

(2)
AlIn8 | PBE | optimized geometry

Unit cell a=10.260 b=10.260 c=4.472 alpha=90.00 beta=90.00 gamma=90.00
Space group I4/mmm (No. 139)
Unique sites:
Al (0.000, 0.000, 0.000)
In (0.000, 0.330, 0.000)
In (0.160, 0.160, 0.500)

Computed properties:
Total magnetic moment (μB/atom): 0.00
Calculated formation energy (eV per atom): 0.075

=====

(3)
ThZnPb | PBE | optimized geometry

Unit cell a=4.5571 b=4.5571 c=4.3991 alpha=90.00 beta=90.00 gamma=120.00
Space group P3m1 (No. 156)
Unique sites:
Th (0.0000, 0.0000, 0.0000)
Zn (0.3333, 0.6667, 0.6547)
Pb (0.6667, 0.3333, 0.4586)

Computed properties:
Total magnetic moment (μB/atom): 0.00
Calculated formation energy (eV per atom): -0.253

=====

(4)
ZrCo2 | PBE | optimized geometry

Unit cell a=6.0438 b=6.0438 c=4.2577 alpha=90.00 beta=90.00 gamma=120.00
Space group P-62m (No. 189)
Unique sites:
Zr (0.0000, 0.0000, 0.0000)
Zr (0.3333, 0.6667, 0.5000)
Co (0.0000, 0.2302, 0.5000)
Co (0.0000, 0.5244, 0.0000)

Computed properties:
Total magnetic moment (μB/atom): 0.03
Calculated formation energy (eV per atom): 0.230

=====

(5)
Ga4As | PBE | optimized geometry

Unit cell a=5.032 b=5.032 c=5.032 alpha=90.00 beta=90.00 gamma=90.00
Space group Pm-3m (No. 221)
Unique sites:
Ga (0.000, 0.000, 0.000)
Ga (0.000, 0.500, 0.500)
As (0.500, 0.500, 0.500)

Computed properties:
Total magnetic moment (μB/atom): 0.00
Calculated formation energy (eV per atom): 0.495

=====

(6)
Rb3CuF8 | PBE | optimized geometry

Unit cell a=8.3409 b=8.3409 c=7.3074 alpha=90.00 beta=90.00 gamma=120.00
Space group P6_3mc (No. 186)
Unique sites:
Rb (0.1580, 0.3160, 0.0000)
Cu (0.3333, 0.6667, 0.4443)
F (0.0000, 0.0000, 0.2537)
F (0.1243, 0.5622, 0.2995)
F (0.2266, 0.4532, 0.5835)
F (0.3333, 0.6667, 0.9107)

Computed properties:
Total magnetic moment (μB/atom): 0.11
Energy relative to the elements, uncorrected (eV per atom): -1.88
Energy above the lowest structure with this stoichiometry (eV per atom): 0.000

=====

- Which formula does entry 3 have?
  ThZnPb